# 1
The following is a PBE-GGA calculation of Ta2In2H after structural relaxation, from Alexandria via LeMat-Bulk.

The relative energy among the computed polymorphs comes out at 0.000 eV/f.u. The calculation puts the total energy at -61.69 eV per cell. Its density of states at the Fermi level is 14.18 states/eV per cell.

It has space group P4/mbm (No. 127), with a = 5.895 Å, b = 5.895 Å, c = 5.012 Å, α = 90.00°, β = 90.00° and γ = 90.00°. The asymmetric unit holds Ta at (0.163, 0.337, 0.000), In at (0.170, 0.670, 0.500) and H at (0.000, 0.000, 0.000).

***

# 2
The following is a PBE-GGA calculation of TaInH after structural relaxation, from Alexandria via LeMat-Bulk.

The relative energy among the computed polymorphs comes out at 0.000 eV/f.u. The calculation puts the total energy at -35.94 eV per cell. Its density of states at the Fermi level is 2.13 states/eV per cell.

It has space group P-1 (No. 2), with a = 3.085 Å, b = 3.087 Å, c = 10.417 Å, α = 81.80°, β = 81.55° and γ = 67.07°. The asymmetric unit holds Ta at (0.245, 0.244, 0.112), In at (0.469, 0.473, 0.362) and H at (0.125, 0.124, 0.835).

***

# 3
The following is a PBE-GGA calculation of Ta2In2H after structural relaxation, from Alexandria via LeMat-Bulk.

The relative energy among the computed polymorphs comes out at 5.263 eV/f.u. The calculation puts the total energy at -51.16 eV per cell. Its density of states at the Fermi level is 9.39 states/eV per cell.

It has space group I4/mmm (No. 139), with a = 3.949 Å, b = 3.949 Å, c = 13.572 Å, α = 90.00°, β = 90.00° and γ = 90.00°. The asymmetric unit holds Ta at (0.000, 0.000, 0.089), In at (0.000, 0.500, 0.250) and H at (0.000, 0.000, 0.500).

***

# 4
The following is a PBE-GGA calculation of TaInH2 after structural relaxation, from Alexandria via LeMat-Bulk.

The relative energy among the computed polymorphs comes out at 3.563 eV/f.u. The calculation puts the total energy at -70.25 eV per cell. Its density of states at the Fermi level is 4.49 states/eV per cell.

It has space group Fm-3m (No. 225), with a = 5.722 Å, b = 5.722 Å, c = 5.722 Å, α = 90.00°, β = 90.00° and γ = 90.00°. The asymmetric unit holds Ta at (0.000, 0.000, 0.000), In at (0.000, 0.000, 0.500) and H at (0.250, 0.250, 0.250).

***

# 5
The following is a PBE-GGA calculation of TaIn2H after structural relaxation, from Alexandria via LeMat-Bulk.

The relative energy among the computed polymorphs comes out at 1.809 eV/f.u. The calculation puts the total energy at -65.98 eV per cell. Its density of states at the Fermi level is 7.09 states/eV per cell.

It has space group Fm-3m (No. 225), with a = 6.754 Å, b = 6.754 Å, c = 6.754 Å, α = 90.00°, β = 90.00° and γ = 90.00°. The asymmetric unit holds Ta at (0.000, 0.000, 0.000), In at (0.250, 0.250, 0.250) and H at (0.000, 0.000, 0.500).

***

# 6
The following is a PBE-GGA calculation of TaInH2 after structural relaxation, from Alexandria via LeMat-Bulk.

The relative energy among the computed polymorphs comes out at 0.000 eV/f.u. The calculation puts the total energy at -63.38 eV per cell. Its density of states at the Fermi level is 5.65 states/eV per cell.

It has space group R3m (No. 160, hexagonal axes), with a = 3.1727 Å, b = 3.1727 Å, c = 16.8259 Å, α = 90.00°, β = 90.00° and γ = 120.00°. The asymmetric unit holds Ta at (0.0000, 0.0000, 0.0000), In at (0.0000, 0.0000, 0.1790), H at (0.0000, 0.0000, 0.3788) and H at (0.0000, 0.0000, 0.6363).

***

# 7
The following is a PBE-GGA calculation of TaIn2H after structural relaxation, from Alexandria via LeMat-Bulk.

The relative energy among the computed polymorphs comes out at 0.000 eV/f.u. The calculation puts the total energy at -73.22 eV per cell. Its density of states at the Fermi level is 7.71 states/eV per cell.

It has space group I-42d (No. 122), with a = 6.869 Å, b = 6.869 Å, c = 5.778 Å, α = 90.00°, β = 90.00° and γ = 90.00°. The asymmetric unit holds Ta at (0.000, 0.000, 0.000), In at (0.170, 0.250, 0.625) and H at (0.000, 0.000, 0.500).

***

# 8
The following is a PBE-GGA calculation of Ta2InH after structural relaxation, from Alexandria via LeMat-Bulk.

The relative energy among the computed polymorphs comes out at 0.807 eV/f.u. The calculation puts the total energy at -112.47 eV per cell. Its density of states at the Fermi level is 8.23 states/eV per cell.

It has space group I4_1/amd (No. 141, origin choice 2), with a = 5.518 Å, b = 5.518 Å, c = 9.041 Å, α = 90.00°, β = 90.00° and γ = 90.00°. The asymmetric unit holds Ta at (0.000, 0.000, 0.000), In at (0.000, 0.250, 0.375) and H at (0.000, 0.250, 0.875).

***

# 9
The following is a PBE-GGA calculation of Ta2VInH after structural relaxation, from Alexandria via LeMat-Bulk.

The calculation puts the total energy at -38.64 eV per cell. Its density of states at the Fermi level is 4.19 states/eV per cell.

It has space group P4/mmm (No. 123), with a = 4.101 Å, b = 4.101 Å, c = 4.308 Å, α = 90.00°, β = 90.00° and γ = 90.00°. The asymmetric unit holds Ta at (0.000, 0.500, 0.000), V at (0.000, 0.000, 0.500), In at (0.500, 0.500, 0.500) and H at (0.000, 0.000, 0.000).

***

# 10
The following is a PBE-GGA calculation of Zr2TaInH after structural relaxation, from Alexandria via LeMat-Bulk.

The calculation puts the total energy at -36.09 eV per cell. Its density of states at the Fermi level is 5.14 states/eV per cell.

It has space group P4/mmm (No. 123), with a = 4.613 Å, b = 4.613 Å, c = 4.033 Å, α = 90.00°, β = 90.00° and γ = 90.00°. The asymmetric unit holds Zr at (0.000, 0.500, 0.000), Ta at (0.000, 0.000, 0.500), In at (0.500, 0.500, 0.500) and H at (0.000, 0.000, 0.000).

***

# 11
The following is a PBE-GGA calculation of ZrTa2InH after structural relaxation, from Alexandria via LeMat-Bulk.

The calculation puts the total energy at -38.71 eV per cell. Its density of states at the Fermi level is 3.59 states/eV per cell.

It has space group P4/mmm (No. 123), with a = 4.166 Å, b = 4.166 Å, c = 4.683 Å, α = 90.00°, β = 90.00° and γ = 90.00°. The asymmetric unit holds Zr at (0.000, 0.000, 0.000), Ta at (0.000, 0.500, 0.500), In at (0.500, 0.500, 0.000) and H at (0.000, 0.000, 0.500).

***

# 12
The following is a PBE-GGA calculation of Tb2InH after structural relaxation, from Alexandria via LeMat-Bulk.

The relative energy among the computed polymorphs comes out at 0.000 eV/f.u. The calculation puts the total energy at -34.39 eV per cell. Its density of states at the Fermi level is 3.62 states/eV per cell.

It has space group P4/nmm (No. 129, origin choice 2), with a = 4.567 Å, b = 4.567 Å, c = 8.543 Å, α = 90.00°, β = 90.00° and γ = 90.00°. The asymmetric unit holds Tb at (0.250, 0.250, 0.152), Tb at (0.250, 0.750, 0.500), In at (0.250, 0.250, 0.778) and H at (0.250, 0.250, 0.419).

***

Question: total energy of number 2 (TaInH)?
Answer: -35.94 eV per cell